Below is a geometry-optimized LiTi2BeW structure, with properties calculated at the GGA-PBE level.

Results
density of states at the Fermi level: 6.67 states/eV/f.u.
magnetic moment: 0.0 Bohr magnetons per cell
total DFT energy (no corrections): -5.66 eV/atom

Geometry as CIF:
```
data_LiTi2BeW
_chemical_formula_sum 'Li1 Ti2 Be1 W1'
_cell_length_a 4.2158
_cell_length_b 4.2767
_cell_length_c 4.2158
_cell_angle_alpha 90.00
_cell_angle_beta 90.00
_cell_angle_gamma 90.00
_symmetry_space_group_name_H-M 'P 1'
_symmetry_Int_Tables_number 1
_symmetry_space_group_name_Hall 'P 1'
loop_
_atom_site_label
_atom_site_fract_x
_atom_site_fract_y
_atom_site_fract_z
Li1 0.0000 0.0000 0.0000
Be1 0.5000 0.5000 0.5000
Ti1 0.0000 0.0000 0.5000
Ti2 0.5000 0.0000 0.0000
W1 0.0000 0.5000 0.0000
```



Below is a geometry-optimized SmDy2Er5Tm structure, with properties calculated at the GGA-PBE level.

Results
density of states at the Fermi level: 11.25 states/eV/f.u.
magnetic moment: 0.0 Bohr magnetons per cell
total DFT energy (no corrections): -4.28 eV/atom

Geometry as CIF:
```
data_SmDy2Er5Tm
_chemical_formula_sum 'Sm2 Dy4 Er10 Tm2'
_cell_length_a 8.8987
_cell_length_b 8.8987
_cell_length_c 9.5872
_cell_angle_alpha 117.65
_cell_angle_beta 117.65
_cell_angle_gamma 90.00
_symmetry_space_group_name_H-M 'P 1'
_symmetry_Int_Tables_number 1
_symmetry_space_group_name_Hall 'P 1'
loop_
_atom_site_label
_atom_site_fract_x
_atom_site_fract_y
_atom_site_fract_z
Sm1 0.2500 0.2500 0.5000
Sm2 0.7500 0.7500 0.5000
Tm1 0.7500 0.2500 0.5000
Tm2 0.2500 0.7500 0.5000
Er1 0.9268 0.4268 0.2643
Er2 0.6626 0.1626 0.7357
Er3 0.0000 0.0000 0.0000
Er4 0.1626 0.0732 0.7357
Er5 0.4268 0.3374 0.2643
Er6 0.5000 0.5000 0.0000
Er7 0.0732 0.5732 0.7357
Er8 0.3374 0.8374 0.2643
Er9 0.5732 0.6626 0.7357
Er10 0.8374 0.9268 0.2643
Dy1 0.3878 0.8878 0.0000
Dy2 0.6122 0.1122 0.0000
Dy3 0.8878 0.6122 0.0000
Dy4 0.1122 0.3878 0.0000
```



Below is a geometry-optimized PmPr2Y6Th3 structure, with properties calculated at the GGA-PBE level.

Results
density of states at the Fermi level: 17.35 states/eV/f.u.
magnetic moment: 0.0 Bohr magnetons per cell
total DFT energy (no corrections): -6.26 eV/atom

Geometry as CIF:
```
data_PmPr2Y6Th3
_chemical_formula_sum 'Pm1 Pr2 Y6 Th3'
_cell_length_a 6.2569
_cell_length_b 6.2569
_cell_length_c 11.8239
_cell_angle_alpha 95.08
_cell_angle_beta 95.08
_cell_angle_gamma 120.00
_symmetry_space_group_name_H-M 'P 1'
_symmetry_Int_Tables_number 1
_symmetry_space_group_name_Hall 'P 1'
loop_
_atom_site_label
_atom_site_fract_x
_atom_site_fract_y
_atom_site_fract_z
Pm1 0.0000 0.0000 0.0000
Y1 0.2474 0.2474 0.7426
Y2 0.0856 0.4188 0.2572
Y3 0.9144 0.5812 0.7428
Y4 0.4188 0.0856 0.2572
Y5 0.7526 0.7526 0.2574
Y6 0.5812 0.9144 0.7428
Pr1 0.3334 0.6666 0.0000
Pr2 0.6666 0.3334 0.0000
Th1 0.8332 0.1668 0.5000
Th2 0.5000 0.5000 0.5000
Th3 0.1668 0.8332 0.5000
```



Below is a geometry-optimized CrIr2Pt structure, with properties calculated at the GGA-PBE level.

Results
density of states at the Fermi level: 4.29 states/eV/f.u.
magnetic moment: 1.2 Bohr magnetons per cell
total DFT energy (no corrections): -8.47 eV/atom

Geometry as CIF:
```
data_CrIr2Pt
_chemical_formula_sum 'Cr1 Ir2 Pt1'
_cell_length_a 4.7054
_cell_length_b 4.7054
_cell_length_c 4.7054
_cell_angle_alpha 131.67
_cell_angle_beta 131.66
_cell_angle_gamma 70.75
_symmetry_space_group_name_H-M 'P 1'
_symmetry_Int_Tables_number 1
_symmetry_space_group_name_Hall 'P 1'
loop_
_atom_site_label
_atom_site_fract_x
_atom_site_fract_y
_atom_site_fract_z
Cr1 0.2500 0.7500 0.5000
Pt1 0.7500 0.2500 0.5000
Ir1 0.5000 0.5000 0.0000
Ir2 0.0000 0.0000 0.0000
```



Below is a geometry-optimized Ta2SbPd2 structure, with properties calculated at the GGA-PBE level.

Results
density of states at the Fermi level: 4.46 states/eV/f.u.
magnetic moment: 0.0 Bohr magnetons per cell
total DFT energy (no corrections): -7.58 eV/atom

Geometry as CIF:
```
data_Ta2SbPd2
_chemical_formula_sum 'Ta4 Sb2 Pd4'
_cell_length_a 7.9297
_cell_length_b 7.9297
_cell_length_c 2.9543
_cell_angle_alpha 90.00
_cell_angle_beta 90.00
_cell_angle_gamma 90.00
_symmetry_space_group_name_H-M 'P 1'
_symmetry_Int_Tables_number 1
_symmetry_space_group_name_Hall 'P 1'
loop_
_atom_site_label
_atom_site_fract_x
_atom_site_fract_y
_atom_site_fract_z
Sb1 0.5000 0.5000 0.0000
Sb2 0.0000 0.0000 0.0000
Pd1 0.1264 0.3736 0.0000
Pd2 0.3736 0.8736 0.0000
Pd3 0.6264 0.1264 0.0000
Pd4 0.8736 0.6264 0.0000
Ta1 0.3351 0.1649 0.5000
Ta2 0.8351 0.3351 0.5000
Ta3 0.1649 0.6649 0.5000
Ta4 0.6649 0.8351 0.5000
```



Below is a geometry-optimized La2ErSn3Pd4 structure, with properties calculated at the GGA-PBE level.

Results
density of states at the Fermi level: 7.10 states/eV/f.u.
magnetic moment: 0.0 Bohr magnetons per cell
total DFT energy (no corrections): -5.57 eV/atom

Geometry as CIF:
```
data_La2ErSn3Pd4
_chemical_formula_sum 'La2 Er1 Sn3 Pd4'
_cell_length_a 4.6369
_cell_length_b 4.6369
_cell_length_c 11.0418
_cell_angle_alpha 90.00
_cell_angle_beta 90.00
_cell_angle_gamma 90.00
_symmetry_space_group_name_H-M 'P 1'
_symmetry_Int_Tables_number 1
_symmetry_space_group_name_Hall 'P 1'
loop_
_atom_site_label
_atom_site_fract_x
_atom_site_fract_y
_atom_site_fract_z
Sn1 0.0000 0.0000 0.5000
Sn2 0.5000 0.0000 0.8762
Sn3 0.0000 0.5000 0.1238
Er1 0.5000 0.5000 0.5000
La1 0.0000 0.5000 0.7730
La2 0.5000 0.0000 0.2270
Pd1 0.0000 0.5000 0.3602
Pd2 0.0000 0.0000 0.0000
Pd3 0.5000 0.5000 0.0000
Pd4 0.5000 0.0000 0.6398
```



These records have calculated volume values of 76, 573, 395, 57, 186, 237 Å³/cell, in the order they appear.